1.
Density functional theory data (PBE) for crystalline Rb2ErGaS4 at its relaxed geometry.

* E_form (uncorrected): -9.30 eV per formula unit
* magnetic moment: 0.000 μB per atom

a b c (Å): 11.4436 11.9461 8.3322
angles (deg): 90.00 133.15 90.00
Space group C2/c (No. 15)
Asymmetric unit:
Rb 0.0000 0.0000 0.0000 [4 per cell]
Rb 0.2500 0.2500 0.0000 [4 per cell]
Er 0.2500 0.2500 0.5000 [4 per cell]
Ga 0.0000 0.5000 0.0000 [4 per cell]
S 0.0082 0.2693 0.0462 [8 per cell]
S 0.1992 0.4856 0.4843 [8 per cell]

=====

2.
Density functional theory data (PBE) for crystalline RbErGaS4 at its relaxed geometry.

* E_form (uncorrected): -8.54 eV per formula unit
* magnetic moment: 0.021 μB per atom

a b c (Å): 6.8499 5.6934 9.5009
angles (deg): 90.00 105.84 90.00
Space group P2_1/m (No. 11)
Asymmetric unit:
Rb 0.2455 0.2500 0.4568 [2 per cell]
Er 0.2452 0.2500 0.9427 [2 per cell]
Ga 0.2454 0.7500 0.1686 [2 per cell]
S 0.0476 0.7500 0.3180 [2 per cell]
S 0.0772 0.7500 0.9282 [2 per cell]
S 0.4907 0.5169 0.8023 [4 per cell]

=====

3.
Density functional theory data (PBE) for crystalline Rb2ErGaSe4 at its relaxed geometry.

* E_form (uncorrected): -8.77 eV per formula unit
* magnetic moment: 0.000 μB per atom

a b c (Å): 12.1266 12.4397 8.5600
angles (deg): 90.00 133.89 90.00
Space group C2/c (No. 15)
Asymmetric unit:
Rb 0.0000 0.0000 0.0000 [4 per cell]
Rb 0.2500 0.2500 0.0000 [4 per cell]
Er 0.2500 0.2500 0.5000 [4 per cell]
Ga 0.0000 0.5000 0.0000 [4 per cell]
Se 0.0022 0.2695 0.0348 [8 per cell]
Se 0.2004 0.4846 0.4607 [8 per cell]

=====

4.
Density functional theory data (PBE) for crystalline Rb3Er3GaTe8 at its relaxed geometry.

* E_form (uncorrected): -15.76 eV per formula unit
* magnetic moment: 0.000 μB per atom

a b c (Å): 15.0587 8.6906 10.2013
angles (deg): 90.00 119.51 90.00
Space group C2/m (No. 12)
Asymmetric unit:
Rb 0.0000 0.0000 0.0000 [2 per cell]
Rb 0.2500 0.2500 0.0000 [4 per cell]
Er 0.0000 0.5000 0.5000 [2 per cell]
Er 0.2500 0.2500 0.5000 [4 per cell]
Ga 0.0000 0.0000 0.5000 [2 per cell]
Te 0.0173 0.2418 0.3099 [8 per cell]
Te 0.2228 0.0000 0.6889 [4 per cell]
Te 0.2333 0.5000 0.6996 [4 per cell]

=====

5.
Density functional theory data (PBE) for crystalline ErGaRe at its relaxed geometry.

* energy of formation: -70 kJ/mol of formula units
* magnetic moment: 0.002 μB per atom

a b c (Å): 3.8980 3.8980 7.6220
angles (deg): 90.00 90.00 90.00
Space group P4/nmm (No. 129, origin choice 2)
Asymmetric unit:
Er 0.2500 0.2500 0.1525 [2 per cell]
Ga 0.2500 0.2500 0.7410 [2 per cell]
Re 0.2500 0.7500 0.5000 [2 per cell]

=====

6.
Density functional theory data (PBE) for crystalline Er5GaRh2 at its relaxed geometry.

* energy of formation: -519 kJ/mol of formula units
* magnetic moment: 0.000 μB per atom

a b c (Å): 7.6221 7.6221 13.0595
angles (deg): 90.00 90.00 90.00
Space group I4/mcm (No. 140)
Asymmetric unit:
Er 0.0000 0.0000 0.0000 [4 per cell]
Er 0.1603 0.3397 0.1401 [16 per cell]
Ga 0.0000 0.0000 0.2500 [4 per cell]
Rh 0.1387 0.3613 0.5000 [8 per cell]

=====

7.
Density functional theory data (PBE) for crystalline ErGaRh at its relaxed geometry.

* energy of formation: -208 kJ/mol of formula units
* magnetic moment: 0.000 μB per atom

a b c (Å): 3.3207 3.3207 10.1080
angles (deg): 90.00 90.00 90.00
Space group I4mm (No. 107)
Asymmetric unit:
Er 0.0000 0.0000 0.0000 [2 per cell]
Ga 0.0000 0.0000 0.7016 [2 per cell]
Rh 0.0000 0.0000 0.3205 [2 per cell]

=====

8.
Density functional theory data (PBE) for crystalline Er11Ga9Rh4 at its relaxed geometry.

* energy of formation: -1692 kJ/mol of formula units
* magnetic moment: 0.000 μB per atom

a b c (Å): 13.8164 20.7035 3.5905
angles (deg): 90.00 90.00 90.00
Space group Cmmm (No. 65)
Asymmetric unit:
Er 0.0000 0.0000 0.0000 [2 per cell]
Er 0.0000 0.1671 0.0000 [4 per cell]
Er 0.0000 0.3726 0.0000 [4 per cell]
Er 0.1932 0.5000 0.0000 [4 per cell]
Er 0.2407 0.1713 0.0000 [8 per cell]
Ga 0.0000 0.5000 0.5000 [2 per cell]
Ga 0.1037 0.2660 0.5000 [8 per cell]
Ga 0.1450 0.0706 0.5000 [8 per cell]
Rh 0.1549 0.3985 0.5000 [8 per cell]

=====

9.
Density functional theory data (PBE) for crystalline Er2Ga9Rh3 at its relaxed geometry.

* energy of formation: -948 kJ/mol of formula units
* magnetic moment: 0.000 μB per atom

a b c (Å): 13.0396 7.5641 9.5026
angles (deg): 90.00 90.00 90.00
Space group Cmcm (No. 63)
Asymmetric unit:
Er 0.1642 0.1662 0.2500 [8 per cell]
Ga 0.0000 0.1261 0.7500 [4 per cell]
Ga 0.0000 0.3327 0.0663 [8 per cell]
Ga 0.1049 0.4434 0.7500 [8 per cell]
Ga 0.1673 0.1675 0.5806 [16 per cell]
Rh 0.0000 0.0000 0.0000 [4 per cell]
Rh 0.1716 0.5000 0.0000 [8 per cell]

=====

10.
Density functional theory data (PBE) for crystalline Er3Ga4Rh4 at its relaxed geometry.

* energy of formation: -831 kJ/mol of formula units
* magnetic moment: 0.000 μB per atom

a b c (Å): 3.6516 4.4039 13.0755
angles (deg): 80.49 82.03 89.95
Space group P-1 (No. 2)
Asymmetric unit:
Er 0.0000 0.0000 0.0000 [1 per cell]
Er 0.1462 0.6473 0.7088 [2 per cell]
Ga 0.3071 0.8065 0.3855 [2 per cell]
Ga 0.4500 0.4508 0.0989 [2 per cell]
Rh 0.2576 0.2581 0.4841 [2 per cell]
Rh 0.4050 0.9056 0.1907 [2 per cell]

=====

11.
Density functional theory data (PBE) for crystalline ErGa2Rh4 at its relaxed geometry.

* energy of formation: -313 kJ/mol of formula units
* magnetic moment: 0.000 μB per atom

a b c (Å): 6.2038 6.2038 6.0448
angles (deg): 90.00 90.00 90.00
Space group I4/mmm (No. 139)
Asymmetric unit:
Er 0.0000 0.0000 0.0000 [2 per cell]
Ga 0.0000 0.5000 0.0000 [4 per cell]
Rh 0.2500 0.2500 0.2500 [8 per cell]

=====

12.
Density functional theory data (PBE) for crystalline Er3Ga2Rh6 at its relaxed geometry.

* energy of formation: -774 kJ/mol of formula units
* magnetic moment: 0.000 μB per atom

a b c (Å): 9.3008 9.3008 9.3008
angles (deg): 90.00 90.00 90.00
Space group Im-3m (No. 229)
Asymmetric unit:
Er 0.0000 0.0000 0.2928 [12 per cell]
Ga 0.2500 0.2500 0.2500 [8 per cell]
Rh 0.0000 0.3436 0.3436 [24 per cell]

=====

13.
Density functional theory data (PBE) for crystalline Er2GaRh at its relaxed geometry.

* energy of formation: -293 kJ/mol of formula units
* magnetic moment: 0.000 μB per atom

a b c (Å): 5.7860 4.4479 7.3518
angles (deg): 90.00 112.65 90.00
Space group P2_1/m (No. 11)
Asymmetric unit:
Er 0.1767 0.2500 0.4132 [2 per cell]
Er 0.2745 0.7500 0.0737 [2 per cell]
Ga 0.3769 0.7500 0.7047 [2 per cell]
Rh 0.1503 0.2500 0.7920 [2 per cell]

=====

14.
Density functional theory data (PBE) for crystalline Er7Ga2Rh2 at its relaxed geometry.

* energy of formation: -473 kJ/mol of formula units
* magnetic moment: 0.000 μB per atom

a b c (Å): 7.7476 10.7126 6.9281
angles (deg): 90.00 90.00 90.00
Space group Cmmm (No. 65)
Asymmetric unit:
Er 0.0000 0.0000 0.0000 [2 per cell]
Er 0.0000 0.5000 0.2537 [4 per cell]
Er 0.2500 0.2500 0.2606 [8 per cell]
Ga 0.1689 0.0000 0.5000 [4 per cell]
Rh 0.0000 0.2914 0.0000 [4 per cell]

=====

15.
Density functional theory data (PBE) for crystalline Er2Ga5Rh at its relaxed geometry.

* energy of formation: -403 kJ/mol of formula units
* magnetic moment: 0.000 μB per atom

a b c (Å): 6.1632 6.1632 8.0511
angles (deg): 90.00 90.00 90.00
Space group I4mm (No. 107)
Asymmetric unit:
Er 0.0000 0.5000 0.0000 [4 per cell]
Ga 0.0000 0.0000 0.4799 [2 per cell]
Ga 0.2153 0.2153 0.7473 [8 per cell]
Rh 0.0000 0.0000 0.1665 [2 per cell]

=====

16.
Density functional theory data (PBE) for crystalline ErGa2Rh at its relaxed geometry.

* energy of formation: -223 kJ/mol of formula units
* magnetic moment: 0.000 μB per atom

a b c (Å): 4.0041 4.0041 4.5013
angles (deg): 90.00 90.00 90.00
Space group P4/mmm (No. 123)
Asymmetric unit:
Er 0.0000 0.0000 0.0000 [1 per cell]
Ga 0.0000 0.5000 0.5000 [2 per cell]
Rh 0.5000 0.5000 0.0000 [1 per cell]

=====

17.
Density functional theory data (PBE) for crystalline Er2GaRh at its relaxed geometry.

* energy of formation: -296 kJ/mol of formula units
* magnetic moment: 0.000 μB per atom

a b c (Å): 3.4867 3.4867 6.9169
angles (deg): 90.00 90.00 90.00
Space group P4/mmm (No. 123)
Asymmetric unit:
Er 0.0000 0.0000 0.2348 [2 per cell]
Ga 0.5000 0.5000 0.5000 [1 per cell]
Rh 0.5000 0.5000 0.0000 [1 per cell]

=====

18.
Density functional theory data (PBE) for crystalline Er3GaRh at its relaxed geometry.

* energy of formation: -275 kJ/mol of formula units
* magnetic moment: 0.000 μB per atom

a b c (Å): 4.5090 6.7286 8.2218
angles (deg): 90.00 90.00 90.00
Space group Pmmn (No. 59, origin choice 2)
Asymmetric unit:
Er 0.2500 0.0024 0.1653 [4 per cell]
Er 0.2500 0.2500 0.5537 [2 per cell]
Ga 0.2500 0.7500 0.6743 [2 per cell]
Rh 0.2500 0.2500 0.8904 [2 per cell]

=====

19.
Density functional theory data (PBE) for crystalline Er3Ga2Rh at its relaxed geometry.

* energy of formation: -396 kJ/mol of formula units
* magnetic moment: 0.000 μB per atom

a b c (Å): 11.7192 4.2775 10.9735
angles (deg): 90.00 90.00 90.00
Space group Pnma (No. 62)
Asymmetric unit:
Er 0.0485 0.2500 0.1242 [4 per cell]
Er 0.1175 0.7500 0.5596 [4 per cell]
Er 0.2289 0.2500 0.8029 [4 per cell]
Ga 0.0088 0.7500 0.3024 [4 per cell]
Ga 0.1918 0.7500 0.0089 [4 per cell]
Rh 0.1222 0.2500 0.3788 [4 per cell]